Compound: ThNi7Ge2
Source: Alexandria
Functional: PBE
Structure: optimized geometry

- Magnetization: 0.00 μB per cell
- Calculated volume: 16.50 Å³/atom
- Final energy: -5.703 eV per atom

Lattice parameters (Å, degrees): 4.359 6.600 6.600 119.65 90.00 90.00
Fractional positions:
Th (0.000, 0.000, 0.000)
Ni (0.000, 0.774, 0.226)
Ni (0.000, 0.226, 0.774)
Ni (0.500, 0.066, 0.300)
Ni (0.500, 0.934, 0.700)
Ni (0.500, 0.300, 0.066)
Ni (0.500, 0.700, 0.934)
Ni (0.500, 0.500, 0.500)
Ge (0.500, 0.700, 0.300)
Ge (0.500, 0.300, 0.700)